Entry 1:
Computed, not measured: a geometry-optimized PmYCo2 structure at the PBE level of DFT.

Properties
Offset from the most stable computed form in meV per atom: 93
Calculated formation energy in kJ/mol of formula units: -18

a b c (Å): 4.801 4.801 3.406
angles (deg): 90.00 90.00 90.00
Space group P4/mmm (No. 123)
One atom of each set of equivalent atoms:
1 Pm 0.000 0.000 0.000 [1 per cell]
2 Y 0.500 0.500 0.000 [1 per cell]
3 Co 0.000 0.500 0.500 [2 per cell]

=====

Entry 2:
Computed, not measured: a geometry-optimized AcSb2Au structure at the PBE level of DFT.

Properties
Offset from the most stable computed form in meV per atom: 324
ΔE_f (raw) in eV/f.u.: -1.6

a b c (Å): 5.9142 5.9142 11.9512
angles (deg): 90.00 90.00 120.00
Space group R-3m (No. 166, hexagonal axes)
One atom of each set of equivalent atoms:
1 Ac 0.0000 0.0000 0.0000 [3 per cell]
2 Sb 0.0000 0.0000 0.2772 [6 per cell]
3 Au 0.0000 0.0000 0.5000 [3 per cell]

=====

Entry 3:
Computed, not measured: a geometry-optimized BeCuSi2 structure at the PBE level of DFT.

Properties
ΔE_f (raw) in eV/f.u.: 1.4

a b c (Å): 4.597 4.597 2.413
angles (deg): 90.00 90.00 90.00
Space group P4/mmm (No. 123)
One atom of each set of equivalent atoms:
1 Be 0.000 0.000 0.000 [1 per cell]
2 Cu 0.500 0.500 0.000 [1 per cell]
3 Si 0.000 0.500 0.500 [2 per cell]

=====

Entry 4:
Computed, not measured: a geometry-optimized TcRh4 structure at the PBE level of DFT.

Properties
Offset from the most stable computed form in meV per atom: 0
Calculated formation energy in kJ/mol of formula units: -25

a b c (Å): 6.083 6.083 3.838
angles (deg): 90.00 90.00 90.00
Space group I4/m (No. 87)
One atom of each set of equivalent atoms:
1 Tc 0.000 0.000 0.000 [2 per cell]
2 Rh 0.104 0.704 0.500 [8 per cell]

=====

Entry 5:
Computed, not measured: a geometry-optimized MnVIr structure at the PBE level of DFT.

Properties
Offset from the most stable computed form in meV per atom: 41
Calculated formation energy in kJ/mol of formula units: -55

a b c (Å): 4.1133 4.1133 2.6337
angles (deg): 90.00 90.00 120.00
Space group P3m1 (No. 156)
One atom of each set of equivalent atoms:
1 Mn 0.0000 0.0000 0.0000 [1 per cell]
2 V 0.6667 0.3333 0.9652 [1 per cell]
3 Ir 0.3333 0.6667 0.4896 [1 per cell]

=====

Entry 6:
Computed, not measured: a geometry-optimized NdEr5Cd4 structure at the PBE level of DFT.

Properties
Calculated formation energy in kJ/mol of formula units: -234

a b c (Å): 3.676 3.676 20.131
angles (deg): 90.00 90.00 90.00
Space group P4/mmm (No. 123)
One atom of each set of equivalent atoms:
1 Nd 0.000 0.000 0.000 [1 per cell]
2 Er 0.500 0.500 0.124 [2 per cell]
3 Er 0.500 0.500 0.313 [2 per cell]
4 Er 0.500 0.500 0.500 [1 per cell]
5 Cd 0.000 0.000 0.218 [2 per cell]
6 Cd 0.000 0.000 0.405 [2 per cell]

=====

Entry 7:
Computed, not measured: a geometry-optimized NdBiPd structure at the PBE level of DFT.

Properties
Calculated formation energy in kJ/mol of formula units: -238

a b c (Å): 8.360 4.833 8.398
angles (deg): 90.00 109.31 90.00
Space group C2/m (No. 12)
One atom of each set of equivalent atoms:
1 Nd 0.241 0.000 0.224 [4 per cell]
2 Bi 0.000 0.000 0.500 [2 per cell]
3 Bi 0.000 0.500 0.000 [2 per cell]
4 Pd 0.128 0.500 0.386 [4 per cell]

=====

Entry 8:
Computed, not measured: a geometry-optimized In5Ag structure at the PBE level of DFT.

Properties
Offset from the most stable computed form in meV per atom: 0
Calculated formation energy in kJ/mol of formula units: 7

a b c (Å): 3.266 3.266 14.146
angles (deg): 90.00 90.00 90.00
Space group P4/mmm (No. 123)
One atom of each set of equivalent atoms:
1 In 0.000 0.000 0.000 [1 per cell]
2 In 0.000 0.000 0.360 [2 per cell]
3 In 0.500 0.500 0.180 [2 per cell]
4 Ag 0.500 0.500 0.500 [1 per cell]

=====

Entry 9:
Computed, not measured: a geometry-optimized P3Pb structure at the PBE level of DFT.

Properties
Calculated formation energy in kJ/mol of formula units: 71

a b c (Å): 4.887 9.001 8.728
angles (deg): 90.00 90.00 90.00
Space group Pnma (No. 62)
One atom of each set of equivalent atoms:
1 P 0.125 0.250 0.124 [4 per cell]
2 P 0.137 0.555 0.919 [8 per cell]
3 Pb 0.039 0.250 0.599 [4 per cell]

=====

Entry 10:
Computed, not measured: a geometry-optimized YIn2Cl structure at the PBE level of DFT.

Properties
Offset from the most stable computed form in meV per atom: 187
ΔE_f (raw) in eV/f.u.: -2.2

a b c (Å): 4.162 4.162 11.629
angles (deg): 90.00 90.00 90.00
Space group I4/mmm (No. 139)
One atom of each set of equivalent atoms:
1 Y 0.000 0.000 0.000 [2 per cell]
2 In 0.000 0.500 0.250 [4 per cell]
3 Cl 0.000 0.000 0.500 [2 per cell]

=====

Entry 11:
Computed, not measured: a geometry-optimized Cu2AgP structure at the PBE level of DFT.

Properties
Calculated formation energy in kJ/mol of formula units: 77

a b c (Å): 3.923 3.923 7.353
angles (deg): 90.00 90.00 90.00
Space group I4/mmm (No. 139)
One atom of each set of equivalent atoms:
1 Cu 0.000 0.500 0.250 [4 per cell]
2 Ag 0.000 0.000 0.000 [2 per cell]
3 P 0.000 0.000 0.500 [2 per cell]

=====

Entry 12:
Computed, not measured: a geometry-optimized K2BaPdF structure at the PBE level of DFT.

Properties
ΔE_f (raw) in eV/f.u.: -0.2

a b c (Å): 7.873 7.873 5.631
angles (deg): 90.00 90.00 90.00
Space group P4/mmm (No. 123)
One atom of each set of equivalent atoms:
1 K 0.000 0.500 0.000 [2 per cell]
2 Ba 0.000 0.000 0.000 [1 per cell]
3 Pd 0.000 0.000 0.500 [1 per cell]
4 F 0.500 0.500 0.500 [1 per cell]

=====

Calculated raw total energy (eV per atom), listed in the same order as above: -6.404; -4.316; -4.307; -8.007; -9.240; -3.367; -5.437; -2.745; -4.800; -3.992; -3.913; -2.282